Entry w
First-principles (GGA-PBE) data for BaTlN2F after structural relaxation, as listed in the Alexandria database.

abc: 5.3873 5.3873 4.9969
angles: 90.00 90.00 90.00
Sites, in units of the cell vectors:
Tl  0.5000  0.5000  0.5000
N  0.0000  0.5000  0.0000
N  0.5000  0.0000  0.0000
Ba  0.0000  0.0000  0.0000
F  0.0000  0.0000  0.5000

* calculated volume: 145.02 Å³/cell
* N(E_F): 1.6 states/eV/cell

Entry x
First-principles (GGA-PBE) data for BaTlN2F after structural relaxation, as listed in the Alexandria database.

abc: 4.3485 4.3485 4.8376
angles: 90.00 90.00 90.00
Sites, in units of the cell vectors:
Tl  0.0000  0.0000  0.0000
N  0.0000  0.5000  0.0000
N  0.5000  0.0000  0.0000
Ba  0.5000  0.5000  0.5000
F  0.0000  0.0000  0.5000

* calculated volume: 91.48 Å³/cell
* N(E_F): 3.7 states/eV/cell

Of them, the most stable is entry x and the least stable is entry w.